No. 1
A relaxed Tb3MgSe4 crystal. Source: Alexandria, functional GGA-PBE.

Results
**DOS(E_F)**: 0.5055 states/eV/atom
**E_form (uncorrected)**: -1242 kJ/mol of formula units
**Energy**: -42.30 eV per cell
**Crystal system**: trigonal

a = 4.006 Å, b = 4.006 Å, c = 13.781 Å
α = 81.64°, β = 81.64°, γ = 60.00°
Fractional coordinates of all 8 atoms:
Tb 0.751 0.751 0.748
Tb 0.500 0.500 0.500
Tb 0.249 0.249 0.252
Mg 0.000 0.000 0.000
Se 0.629 0.629 0.114
Se 0.875 0.875 0.374
Se 0.371 0.371 0.886
Se 0.125 0.125 0.626

No. 2
A relaxed Tb2MgSe4 crystal. Source: Alexandria, functional GGA-PBE.

Results
**DOS(E_F)**: 0.0000 states/eV/atom
**E_form (uncorrected)**: -1098 kJ/mol of formula units
**Energy**: -72.34 eV per cell
**Crystal system**: tetragonal

a = 7.552 Å, b = 7.552 Å, c = 7.552 Å
α = 110.69°, β = 110.69°, γ = 107.07°
Fractional coordinates of all 14 atoms:
Tb 0.875 0.754 0.379
Tb 0.504 0.125 0.879
Tb 0.375 0.496 0.621
Tb 0.246 0.625 0.121
Mg 0.000 0.000 0.000
Mg 0.750 0.250 0.500
Se 0.508 0.378 0.263
Se 0.755 0.492 0.871
Se 0.116 0.245 0.737
Se 0.622 0.884 0.129
Se 0.242 0.005 0.371
Se 0.995 0.366 0.237
Se 0.634 0.872 0.629
Se 0.128 0.758 0.763

No. 3
A relaxed TbMgSe2 crystal. Source: Alexandria, functional GGA-PBE.

Results
**DOS(E_F)**: 0.2681 states/eV/atom
**E_form (uncorrected)**: -559 kJ/mol of formula units
**Energy**: -18.99 eV per cell
**Crystal system**: trigonal

a = 3.909 Å, b = 3.909 Å, c = 7.297 Å
α = 74.46°, β = 74.46°, γ = 60.00°
Fractional coordinates of all 4 atoms:
Tb 0.500 0.500 0.499
Mg 0.668 0.668 0.997
Se 0.075 0.075 0.775
Se 0.257 0.257 0.229

No. 4
A relaxed TbMgSe3 crystal. Source: Alexandria, functional GGA-PBE.

Results
**DOS(E_F)**: 0.3521 states/eV/atom
**E_form (uncorrected)**: -558 kJ/mol of formula units
**Energy**: -44.93 eV per cell
**Crystal system**: monoclinic

a = 7.306 Å, b = 7.306 Å, c = 6.562 Å
α = 72.50°, β = 72.50°, γ = 108.97°
Fractional coordinates of all 10 atoms:
Tb 0.773 0.773 0.206
Tb 0.227 0.227 0.794
Mg 0.669 0.331 0.000
Mg 0.331 0.669 0.000
Se 0.880 0.188 0.216
Se 0.120 0.812 0.784
Se 0.812 0.120 0.784
Se 0.188 0.880 0.216
Se 0.590 0.590 0.702
Se 0.410 0.410 0.298

No. 5
A relaxed Tb2MgSe crystal. Source: Alexandria, functional GGA-PBE.

Results
**DOS(E_F)**: 1.1226 states/eV/atom
**E_form (uncorrected)**: -303 kJ/mol of formula units
**Energy**: -17.48 eV per cell
**Crystal system**: trigonal

a = 3.864 Å, b = 3.864 Å, c = 8.983 Å
α = 77.58°, β = 77.58°, γ = 60.00°
Fractional coordinates of all 4 atoms:
Tb 0.068 0.068 0.797
Tb 0.265 0.265 0.204
Mg 0.500 0.500 0.501
Se 0.667 0.667 0.998

No. 6
A relaxed Tb2MgSe3 crystal. Source: Alexandria, functional GGA-PBE.

Results
**DOS(E_F)**: 0.3535 states/eV/atom
**E_form (uncorrected)**: -908 kJ/mol of formula units
**Energy**: -30.72 eV per cell
**Crystal system**: tetragonal

a = 4.017 Å, b = 4.017 Å, c = 9.162 Å
α = 102.67°, β = 102.67°, γ = 90.00°
Fractional coordinates of all 6 atoms:
Tb 0.110 0.111 0.225
Tb 0.759 0.760 0.523
Mg 0.434 0.436 0.874
Se 0.934 0.936 0.874
Se 0.278 0.280 0.562
Se 0.590 0.591 0.186

No. 7
A relaxed Tb4MgSe5 crystal. Source: Alexandria, functional GGA-PBE.

Results
**DOS(E_F)**: 0.3387 states/eV/atom
**E_form (uncorrected)**: -1592 kJ/mol of formula units
**Energy**: -54.04 eV per cell
**Crystal system**: trigonal

a = 4.035 Å, b = 4.035 Å, c = 17.048 Å
α = 83.20°, β = 83.20°, γ = 60.00°
Fractional coordinates of all 10 atoms:
Tb 0.901 0.901 0.297
Tb 0.298 0.298 0.105
Tb 0.702 0.702 0.895
Tb 0.099 0.099 0.703
Mg 0.500 0.500 0.500
Se 0.401 0.401 0.798
Se 0.000 0.000 0.000
Se 0.599 0.599 0.202
Se 0.803 0.803 0.591
Se 0.197 0.197 0.409

No. 8
A relaxed TbMg2Se4 crystal. Source: Alexandria, functional GGA-PBE.

Results
**DOS(E_F)**: 0.4942 states/eV/atom
**E_form (uncorrected)**: -869 kJ/mol of formula units
**Energy**: -61.52 eV per cell
**Crystal system**: orthorhombic

a = 3.861 Å, b = 6.644 Å, c = 13.325 Å
α = 90.00°, β = 90.00°, γ = 106.89°
Fractional coordinates of all 14 atoms:
Tb 0.616 0.232 0.750
Tb 0.384 0.768 0.250
Mg 0.133 0.266 0.431
Mg 0.867 0.734 0.931
Mg 0.133 0.266 0.069
Mg 0.867 0.734 0.569
Se 0.782 0.564 0.117
Se 0.782 0.564 0.383
Se 0.218 0.436 0.883
Se 0.218 0.436 0.617
Se 0.950 0.899 0.750
Se 0.050 0.101 0.250
Se 0.500 0.000 0.000
Se 0.500 0.000 0.500

No. 9
A relaxed TbMgSe2 crystal. Source: Alexandria, functional GGA-PBE.

Results
**DOS(E_F)**: 0.4589 states/eV/atom
**E_form (uncorrected)**: -552 kJ/mol of formula units
**Energy**: -18.92 eV per cell
**Crystal system**: trigonal

a = 3.905 Å, b = 3.905 Å, c = 7.249 Å
α = 74.37°, β = 74.37°, γ = 60.00°
Fractional coordinates of all 4 atoms:
Tb 0.500 0.500 0.500
Mg 0.000 0.000 0.000
Se 0.257 0.257 0.229
Se 0.743 0.743 0.771

No. 10
A relaxed TbMgSe3 crystal. Source: Alexandria, functional GGA-PBE.

Results
**DOS(E_F)**: 1.0153 states/eV/atom
**E_form (uncorrected)**: -597 kJ/mol of formula units
**Energy**: -45.73 eV per cell
**Crystal system**: trigonal

a = 7.370 Å, b = 7.370 Å, c = 7.370 Å
α = 57.79°, β = 57.79°, γ = 57.79°
Fractional coordinates of all 10 atoms:
Tb 0.348 0.348 0.348
Tb 0.652 0.652 0.652
Mg 0.153 0.153 0.153
Mg 0.847 0.847 0.847
Se 0.943 0.564 0.235
Se 0.057 0.436 0.765
Se 0.564 0.235 0.943
Se 0.436 0.765 0.057
Se 0.235 0.943 0.564
Se 0.765 0.057 0.436

No. 11
A relaxed Tb6MgSe8 crystal. Source: Alexandria, functional GGA-PBE.

Results
**DOS(E_F)**: 0.2578 states/eV/atom
**E_form (uncorrected)**: -2559 kJ/mol of formula units
**Energy**: -83.77 eV per cell
**Crystal system**: cubic

a = 8.152 Å, b = 8.152 Å, c = 8.152 Å
α = 60.00°, β = 60.00°, γ = 60.00°
Fractional coordinates of all 15 atoms:
Tb 0.000 0.500 0.500
Tb 0.500 0.000 0.000
Tb 0.500 0.500 0.000
Tb 0.000 0.000 0.500
Tb 0.000 0.500 0.000
Tb 0.500 0.000 0.500
Mg 0.000 0.000 0.000
Se 0.750 0.750 0.750
Se 0.250 0.250 0.250
Se 0.757 0.243 0.243
Se 0.243 0.757 0.757
Se 0.243 0.243 0.757
Se 0.757 0.757 0.243
Se 0.757 0.243 0.757
Se 0.243 0.757 0.243